Entry from Alexandria: crystalline AcVBi2O6 at its relaxed geometry (PBE with a Hubbard U).

The structure belongs to space group P1 (No. 1); the cell edges are 5.793, 6.066 and 6.196 Å and the angles 62.48°, 63.24° and 62.95°. The distinct sites, in fractional coordinates, are Ac at (0.000, 0.000, 0.000), V at (0.538, 0.438, 0.514), Bi at (0.211, 0.337, 0.246), Bi at (0.714, 0.819, 0.707), O at (0.223, 0.624, 0.363), O at (0.394, 0.153, 0.839), O at (0.403, 0.666, 0.768), O at (0.646, 0.148, 0.355), O at (0.808, 0.633, 0.182) and O at (0.897, 0.217, 0.606).

The crystal system is triclinic. For the calculated total energy, the calculation gives -67.9 eV per cell.